VASP calculation (PBE-GGA) on an optimized crystal structure of CdIr2Os.

Calculated formation energy (kJ/mol of formula units): 150
Mass density (g cm⁻³): 16.789
Crystal system: orthorhombic

abc: 2.7567 4.3730 11.2743
angles: 90.00 90.00 90.00
Space group Imm2 (No. 44)
Inequivalent atoms, fractional coordinates:
Cd 0.0000 0.0000 0.0000
Ir 0.0000 0.0000 0.5773
Ir 0.0000 0.5000 0.8331
Os 0.0000 0.5000 0.2644

VASP calculation (PBE-GGA) on an optimized crystal structure of KYZn2.

Calculated formation energy (kJ/mol of formula units): -11
Mass density (g cm⁻³): 3.805
Excess energy over the best structure of this formula in the dataset (eV per atom): 0.000
Crystal system: tetragonal

abc: 3.7638 3.7638 7.9734
angles: 90.00 90.00 90.00
Space group P4/mmm (No. 123)
Inequivalent atoms, fractional coordinates:
K 0.0000 0.0000 0.0000
Y 0.0000 0.0000 0.5000
Zn 0.5000 0.5000 0.3150

VASP calculation (PBE-GGA) on an optimized crystal structure of NpZnSb2.

ΔE_f (raw) (eV per atom): -0.166
Mass density (g cm⁻³): 9.759
Crystal system: tetragonal

abc: 4.6953 4.6953 4.2136
angles: 90.00 90.00 90.00
Space group P4/mmm (No. 123)
Inequivalent atoms, fractional coordinates:
Np 0.0000 0.0000 0.0000
Zn 0.5000 0.5000 0.0000
Sb 0.0000 0.5000 0.5000

VASP calculation (PBE-GGA) on an optimized crystal structure of Er4MgRh5.

Calculated formation energy (kJ/mol of formula units): -829
Mass density (g cm⁻³): 10.742
Crystal system: tetragonal

abc: 3.3621 3.3621 16.5186
angles: 90.00 90.00 90.00
Space group P4/mmm (No. 123)
Inequivalent atoms, fractional coordinates:
Er 0.0000 0.0000 0.1035
Er 0.0000 0.0000 0.3107
Mg 0.0000 0.0000 0.5000
Rh 0.5000 0.5000 0.0000
Rh 0.5000 0.5000 0.2051
Rh 0.5000 0.5000 0.4090

> What is the formula in the second record?

KYZn2

> What is the mass density in the fourth record?

10.742 g cm⁻³

> Look up the mass density of the second one.

3.805 g cm⁻³

Repeat the fourth record exactly.
VASP calculation (PBE-GGA) on an optimized crystal structure of Er4MgRh5.

Calculated formation energy (kJ/mol of formula units): -829
Mass density (g cm⁻³): 10.742
Crystal system: tetragonal

abc: 3.3621 3.3621 16.5186
angles: 90.00 90.00 90.00
Space group P4/mmm (No. 123)
Inequivalent atoms, fractional coordinates:
Er 0.0000 0.0000 0.1035
Er 0.0000 0.0000 0.3107
Mg 0.0000 0.0000 0.5000
Rh 0.5000 0.5000 0.0000
Rh 0.5000 0.5000 0.2051
Rh 0.5000 0.5000 0.4090